(1)
LiTaTe2: relaxed, GGA-PBE.

```
data_LiTaTe2
_cell_length_a 5.622
_cell_length_b 3.732
_cell_length_c 4.362
_cell_angle_alpha 90.00
_cell_angle_beta 90.00
_cell_angle_gamma 90.00
_space_group_name_H-M_alt 'P 1'
_space_group_IT_number 1
loop_
_space_group_symop_operation_xyz
'x,y,z'
loop_
_atom_site_label
_atom_site_type_symbol
_atom_site_fract_x
_atom_site_fract_y
_atom_site_fract_z
Te1 Te 0.000 0.875 0.875
Ta1 Ta 0.500 0.875 0.875
Li1 Li 0.000 0.374 0.375
Te2 Te 0.500 0.375 0.375
```

Summary:
- magnetic moment (μB per formula unit) = 0.00
- symmetry = Pmmm
- calculated total energy (eV/cell) = -20.73
- energy relative to the elements, uncorrected (eV per formula unit) = -0.68
- DOS(E_F) (states/eV/f.u.) = 2.3

=====

(2)
Sr2BeReH: relaxed, GGA-PBE.

```
data_Sr2BeReH
_cell_length_a 5.526
_cell_length_b 3.262
_cell_length_c 5.526
_cell_angle_alpha 90.00
_cell_angle_beta 90.00
_cell_angle_gamma 90.00
_space_group_name_H-M_alt 'P 1'
_space_group_IT_number 1
loop_
_space_group_symop_operation_xyz
'x,y,z'
loop_
_atom_site_label
_atom_site_type_symbol
_atom_site_fract_x
_atom_site_fract_y
_atom_site_fract_z
Sr1 Sr 0.500 0.000 0.000
Be1 Be 0.000 0.500 0.000
H1 H 0.000 0.000 0.000
Sr2 Sr 0.000 0.000 0.500
Re1 Re 0.500 0.500 0.500
```

Summary:
- magnetic moment (μB per formula unit) = 0.00
- symmetry = P4/mmm
- calculated total energy (eV/cell) = -18.81
- DOS(E_F) (states/eV/f.u.) = 5.7

=====

(3)
MgTlCu2: relaxed, GGA-PBE.

```
data_MgTlCu2
_cell_length_a 8.592
_cell_length_b 8.592
_cell_length_c 8.592
_cell_angle_alpha 21.54
_cell_angle_beta 21.54
_cell_angle_gamma 21.54
_space_group_name_H-M_alt 'P 1'
_space_group_IT_number 1
loop_
_space_group_symop_operation_xyz
'x,y,z'
loop_
_atom_site_label
_atom_site_type_symbol
_atom_site_fract_x
_atom_site_fract_y
_atom_site_fract_z
Cu1 Cu 0.997 0.997 0.997
Tl1 Tl 0.750 0.750 0.750
Cu2 Cu 0.503 0.503 0.503
Mg1 Mg 0.250 0.250 0.250
```

Summary:
- magnetic moment (μB per formula unit) = 0.00
- symmetry = R-3m
- calculated total energy (eV/cell) = -11.10
- DOS(E_F) (states/eV/f.u.) = 0.9

=====

(4)
CaTh2H6: relaxed, GGA-PBE.

```
data_CaTh2H6
_cell_length_a 3.506
_cell_length_b 3.983
_cell_length_c 9.354
_cell_angle_alpha 83.02
_cell_angle_beta 90.01
_cell_angle_gamma 116.41
_space_group_name_H-M_alt 'P 1'
_space_group_IT_number 1
loop_
_space_group_symop_operation_xyz
'x,y,z'
loop_
_atom_site_label
_atom_site_type_symbol
_atom_site_fract_x
_atom_site_fract_y
_atom_site_fract_z
H1 H 0.350 0.701 0.915
Th1 Th 0.322 0.640 0.171
H2 H 0.708 0.415 0.368
Th2 Th 0.678 0.360 0.829
H3 H 0.650 0.299 0.085
H4 H 0.997 0.999 0.753
H5 H 0.003 0.001 0.247
Ca1 Ca 0.000 0.000 0.500
H6 H 0.292 0.585 0.632
```

Summary:
- magnetic moment (μB per formula unit) = 0.00
- symmetry = P-1
- calculated total energy (eV/cell) = -40.54
- DOS(E_F) (states/eV/f.u.) = 4.3

=====

(5)
Na2DyYO4: relaxed, GGA-PBE.

```
data_Na2DyYO4
_cell_length_a 3.432
_cell_length_b 5.927
_cell_length_c 5.943
_cell_angle_alpha 70.49
_cell_angle_beta 90.00
_cell_angle_gamma 90.00
_space_group_name_H-M_alt 'P 1'
_space_group_IT_number 1
loop_
_space_group_symop_operation_xyz
'x,y,z'
loop_
_atom_site_label
_atom_site_type_symbol
_atom_site_fract_x
_atom_site_fract_y
_atom_site_fract_z
Na1 Na 0.000 0.000 0.000
Dy1 Dy 0.500 0.500 0.000
Y1 Y 0.000 0.500 0.500
O1 O 0.000 0.711 0.764
O2 O 0.500 0.289 0.738
Na2 Na 0.500 0.000 0.500
O3 O 0.000 0.289 0.236
O4 O 0.500 0.711 0.262
```

Summary:
- magnetic moment (μB per formula unit) = 0.00
- symmetry = P2/m
- calculated total energy (eV/cell) = -55.85
- energy relative to the elements, uncorrected (eV per formula unit) = -22.31
- DOS(E_F) (states/eV/f.u.) = 0.0

=====

(6)
CrFeCl: relaxed, GGA-PBE.

```
data_CrFeCl
_cell_length_a 5.675
_cell_length_b 5.653
_cell_length_c 2.936
_cell_angle_alpha 75.41
_cell_angle_beta 74.55
_cell_angle_gamma 30.05
_space_group_name_H-M_alt 'P 1'
_space_group_IT_number 1
loop_
_space_group_symop_operation_xyz
'x,y,z'
loop_
_atom_site_label
_atom_site_type_symbol
_atom_site_fract_x
_atom_site_fract_y
_atom_site_fract_z
Cr1 Cr 0.320 0.320 0.680
Cl1 Cl 0.000 0.000 0.000
Fe1 Fe 0.680 0.680 0.320
```

Summary:
- ΔE to the lowest computed polymorph (eV/atom) = 0.0697
- magnetic moment (μB per formula unit) = 1.00
- symmetry = Fmm2
- calculated total energy (eV/cell) = -18.89
- energy relative to the elements, uncorrected (eV per formula unit) = 1.05
- DOS(E_F) (states/eV/f.u.) = 1.9

=====

(7)
LiErP: relaxed, GGA-PBE.

```
data_LiErP
_cell_length_a 3.830
_cell_length_b 3.997
_cell_length_c 3.997
_cell_angle_alpha 120.00
_cell_angle_beta 90.00
_cell_angle_gamma 90.00
_space_group_name_H-M_alt 'P 1'
_space_group_IT_number 1
loop_
_space_group_symop_operation_xyz
'x,y,z'
loop_
_atom_site_label
_atom_site_type_symbol
_atom_site_fract_x
_atom_site_fract_y
_atom_site_fract_z
P1 P 0.167 0.000 0.000
Er1 Er 0.667 0.333 0.667
Li1 Li 0.166 0.667 0.333
```

Summary:
- magnetic moment (μB per formula unit) = 0.00
- symmetry = P-6m2
- calculated total energy (eV/cell) = -14.79
- DOS(E_F) (states/eV/f.u.) = 1.6

=====

(8)
Ga2SbRu2: relaxed, GGA-PBE.

```
data_Ga2SbRu2
_cell_length_a 7.232
_cell_length_b 7.232
_cell_length_c 3.185
_cell_angle_alpha 90.00
_cell_angle_beta 90.00
_cell_angle_gamma 90.00
_space_group_name_H-M_alt 'P 1'
_space_group_IT_number 1
loop_
_space_group_symop_operation_xyz
'x,y,z'
loop_
_atom_site_label
_atom_site_type_symbol
_atom_site_fract_x
_atom_site_fract_y
_atom_site_fract_z
Ga1 Ga 0.140 0.640 0.500
Sb1 Sb 0.500 0.500 0.000
Ru1 Ru 0.655 0.155 0.000
Ga2 Ga 0.640 0.860 0.500
Ru2 Ru 0.845 0.655 0.000
Ga3 Ga 0.360 0.140 0.500
Sb2 Sb 0.000 0.000 0.000
Ga4 Ga 0.860 0.360 0.500
Ru3 Ru 0.155 0.345 0.000
Ru4 Ru 0.345 0.845 0.000
```

Summary:
- magnetic moment (μB per formula unit) = 0.00
- symmetry = P4/mbm
- calculated total energy (eV/cell) = -58.43
- energy relative to the elements, uncorrected (eV per formula unit) = -0.49
- DOS(E_F) (states/eV/f.u.) = 4.8

=====

(9)
CsBa2NaCd: relaxed, GGA-PBE.

```
data_CsBa2NaCd
_cell_length_a 6.870
_cell_length_b 6.870
_cell_length_c 6.458
_cell_angle_alpha 90.00
_cell_angle_beta 90.00
_cell_angle_gamma 90.00
_space_group_name_H-M_alt 'P 1'
_space_group_IT_number 1
loop_
_space_group_symop_operation_xyz
'x,y,z'
loop_
_atom_site_label
_atom_site_type_symbol
_atom_site_fract_x
_atom_site_fract_y
_atom_site_fract_z
Na1 Na 0.000 0.000 0.500
Ba1 Ba 0.500 0.000 0.000
Ba2 Ba 0.000 0.500 0.000
Cd1 Cd 0.000 0.000 0.000
Cs1 Cs 0.500 0.500 0.500
```

Summary:
- magnetic moment (μB per formula unit) = 0.00
- symmetry = P4/mmm
- calculated total energy (eV/cell) = -6.77
- DOS(E_F) (states/eV/f.u.) = 6.1

=====

(10)
Ta2CuCl: relaxed, GGA-PBE.

```
data_Ta2CuCl
_cell_length_a 4.615
_cell_length_b 4.615
_cell_length_c 4.615
_cell_angle_alpha 60.00
_cell_angle_beta 60.00
_cell_angle_gamma 60.00
_space_group_name_H-M_alt 'P 1'
_space_group_IT_number 1
loop_
_space_group_symop_operation_xyz
'x,y,z'
loop_
_atom_site_label
_atom_site_type_symbol
_atom_site_fract_x
_atom_site_fract_y
_atom_site_fract_z
Cu1 Cu 0.750 0.750 0.750
Cl1 Cl 0.500 0.500 0.500
Ta1 Ta 0.000 0.000 0.000
Ta2 Ta 0.250 0.250 0.250
```

Summary:
- ΔE to the lowest computed polymorph (eV/atom) = 1.0079
- magnetic moment (μB per formula unit) = 0.89
- symmetry = F-43m
- calculated total energy (eV/cell) = -25.61
- energy relative to the elements, uncorrected (eV per formula unit) = 4.04
- DOS(E_F) (states/eV/f.u.) = 6.6

=====

(11)
Co2NiSbN: relaxed, GGA-PBE.

```
data_Co2NiSbN
_cell_length_a 3.870
_cell_length_b 3.870
_cell_length_c 3.975
_cell_angle_alpha 90.00
_cell_angle_beta 90.00
_cell_angle_gamma 90.00
_space_group_name_H-M_alt 'P 1'
_space_group_IT_number 1
loop_
_space_group_symop_operation_xyz
'x,y,z'
loop_
_atom_site_label
_atom_site_type_symbol
_atom_site_fract_x
_atom_site_fract_y
_atom_site_fract_z
Sb1 Sb 0.500 0.500 0.500
Ni1 Ni 0.000 0.000 0.500
Co1 Co 0.000 0.500 0.000
Co2 Co 0.500 0.000 0.000
N1 N 0.000 0.000 0.000
```

Summary:
- magnetic moment (μB per formula unit) = 1.89
- symmetry = P4/mmm
- calculated total energy (eV/cell) = -31.91
- energy relative to the elements, uncorrected (eV per formula unit) = 0.53
- DOS(E_F) (states/eV/f.u.) = 5.0

=====

(12)
TaFeAsBr2: relaxed, GGA-PBE.

```
data_TaFeAsBr2
_cell_length_a 5.117
_cell_length_b 5.117
_cell_length_c 5.108
_cell_angle_alpha 90.00
_cell_angle_beta 90.00
_cell_angle_gamma 90.00
_space_group_name_H-M_alt 'P 1'
_space_group_IT_number 1
loop_
_space_group_symop_operation_xyz
'x,y,z'
loop_
_atom_site_label
_atom_site_type_symbol
_atom_site_fract_x
_atom_site_fract_y
_atom_site_fract_z
Br1 Br 0.000 0.500 0.000
As1 As 0.000 0.000 0.500
Fe1 Fe 0.500 0.500 0.500
Br2 Br 0.500 0.000 0.000
Ta1 Ta 0.000 0.000 0.000
```

Summary:
- ΔE to the lowest computed polymorph (eV/atom) = 0.0000
- magnetic moment (μB per formula unit) = 4.07
- symmetry = P4/mmm
- calculated total energy (eV/cell) = -24.99
- energy relative to the elements, uncorrected (eV per formula unit) = 3.32
- DOS(E_F) (states/eV/f.u.) = 8.0